No. 1
First-principles (GGA-PBE) data for Dy3ErTl2B2 after structural relaxation, as listed in OQMD via LeMat-Bulk.

Properties
Volume   192.67 Å³/cell
Calculated density   9.4 g/cm³
Spin magnetization   0.01 μB/atom

abc: 3.6302 3.6302 16.8827
angles: 90.00 90.00 120.00
Space group P3m1 (No. 156)
Asymmetric unit:
1 Dy 0.0000 0.0000 0.0000 (multiplicity 1)
2 Dy 0.0000 0.0000 0.3190 (multiplicity 1)
3 Dy 0.6667 0.3333 0.8167 (multiplicity 1)
4 Er 0.6667 0.3333 0.5000 (multiplicity 1)
5 Tl 0.0000 0.0000 0.6574 (multiplicity 1)
6 Tl 0.6667 0.3333 0.1593 (multiplicity 1)
7 B 0.3333 0.6667 0.4099 (multiplicity 1)
8 B 0.3333 0.6667 0.9086 (multiplicity 1)

No. 2
First-principles (GGA-PBE) data for AcAuO3 after structural relaxation, as listed in OQMD via LeMat-Bulk.

Properties
Volume   74.38 Å³/cell
Calculated density   10.5 g/cm³
Spin magnetization   0.00 μB/atom

abc: 4.169 4.169 4.280
angles: 90.00 90.00 90.00
Space group P4mm (No. 99)
Asymmetric unit:
1 Ac 0.000 0.000 0.000 (multiplicity 1)
2 Au 0.500 0.500 0.565 (multiplicity 1)
3 O 0.000 0.500 0.609 (multiplicity 2)
4 O 0.500 0.500 0.067 (multiplicity 1)

no.,uncorrected energy (eV per atom)
1,-4.654
2,-5.947